Here is Tb3Pr5Bi8 after structural relaxation from Alexandria via LeMat-Bulk. Energies are from GGA-PBE.

## Properties
Raw total energy: -5.23 eV per atom
Formation energy: -925.1 meV per atom

The structure in POSCAR format:
```
Tb3Pr5Bi8
1.0
4.588 2.649 7.489
-4.588 2.649 7.489
0.000 -5.298 7.489
Tb Pr Bi
3 5 8
Direct
0.000 0.500 0.500
0.500 0.000 0.500
0.500 0.500 0.000
0.000 0.000 0.000
0.000 0.000 0.500
0.000 0.500 0.000
0.500 0.000 0.000
0.500 0.500 0.500
0.250 0.250 0.744
0.250 0.744 0.250
0.253 0.253 0.253
0.256 0.750 0.750
0.744 0.250 0.250
0.747 0.747 0.747
0.750 0.256 0.750
0.750 0.750 0.256
```



Here is NiOsBr2 after structural relaxation from Alexandria via LeMat-Bulk. Energies are from GGA-PBE.

## Properties
Raw total energy: -4.38 eV per atom
Energy above the lowest structure with this stoichiometry: 1.065 eV per formula unit

The structure in POSCAR format:
```
NiOsBr2
1.0
3.060 0.000 0.000
0.000 3.060 0.000
0.000 0.000 8.340
Ni Os Br
1 1 2
Direct
0.000 0.000 0.000
0.500 0.500 0.179
0.000 0.000 0.379
0.500 0.500 0.804
```



Here is Ac3TlRh2 after structural relaxation from Alexandria via LeMat-Bulk. Energies are from GGA-PBE.

## Properties
Raw total energy: -5.41 eV per atom
Formation energy: -515.5 meV per atom
Energy above the lowest structure with this stoichiometry: 0.000 eV per formula unit

The structure in POSCAR format:
```
Ac3TlRh2
1.0
7.793 0.000 0.000
0.000 4.252 0.000
0.000 0.000 11.130
Ac Tl Rh
6 2 4
Direct
0.000 0.000 0.000
0.001 0.500 0.303
0.499 0.500 0.303
0.500 0.000 0.000
0.501 0.500 0.697
0.999 0.500 0.697
0.250 0.000 0.504
0.750 0.000 0.496
0.250 0.000 0.767
0.250 0.500 0.094
0.750 0.000 0.233
0.750 0.500 0.906
```



Here is Ac2BeBPd6 after structural relaxation from Alexandria via LeMat-Bulk. Energies are from GGA-PBE.

## Properties
Raw total energy: -5.63 eV per atom
Formation energy: -648.3 meV per atom

The structure in POSCAR format:
```
Ac2BeBPd6
1.0
2.965 1.712 6.109
-2.965 1.712 6.109
0.000 -3.424 6.109
Ac Be B Pd
2 1 1 6
Direct
0.227 0.227 0.227
0.773 0.773 0.773
0.500 0.500 0.500
0.000 0.000 0.000
0.239 0.239 0.718
0.239 0.718 0.239
0.282 0.761 0.761
0.718 0.239 0.239
0.761 0.282 0.761
0.761 0.761 0.282
```



Here is Ac2LaY after structural relaxation from Alexandria via LeMat-Bulk. Energies are from GGA-PBE.

## Properties
Raw total energy: -4.88 eV per atom
Formation energy: 24.4 meV per atom
Energy above the lowest structure with this stoichiometry: 0.000 eV per formula unit

The structure in POSCAR format:
```
Ac2LaY
1.0
5.430 0.000 0.000
0.000 5.430 0.000
0.000 0.000 5.336
Ac La Y
2 1 1
Direct
0.000 0.500 0.000
0.500 0.000 0.000
0.000 0.000 0.500
0.500 0.500 0.500
```



Here is Tb2MgZn3Cu12 after structural relaxation from Alexandria via LeMat-Bulk. Energies are from GGA-PBE.

## Properties
Raw total energy: -3.51 eV per atom
Formation energy: 39.8 meV per atom

The structure in POSCAR format:
```
Tb2MgZn3Cu12
1.0
4.399 2.540 4.116
-4.399 2.540 4.116
0.000 -5.080 4.116
Tb Mg Zn Cu
2 1 3 12
Direct
0.204 0.204 0.204
0.796 0.796 0.796
0.500 0.500 0.500
0.000 0.500 0.500
0.500 0.000 0.500
0.500 0.500 0.000
0.086 0.086 0.634
0.086 0.634 0.086
0.217 0.700 0.700
0.300 0.300 0.783
0.300 0.783 0.300
0.366 0.914 0.914
0.634 0.086 0.086
0.700 0.217 0.700
0.700 0.700 0.217
0.783 0.300 0.300
0.914 0.366 0.914
0.914 0.914 0.366
```



Here is CaYZr after structural relaxation from Alexandria via LeMat-Bulk. Energies are from GGA-PBE.

## Properties
Raw total energy: -5.50 eV per atom
Formation energy: 166.5 meV per atom
Energy above the lowest structure with this stoichiometry: 0.000 eV per formula unit

The structure in POSCAR format:
```
CaYZr
1.0
-1.724 1.724 7.771
1.724 -1.724 7.771
1.724 1.724 -7.771
Ca Y Zr
1 1 1
Direct
0.000 0.000 0.000
0.306 0.306 0.000
0.667 0.667 0.000
```



Here is Tb2HfTl after structural relaxation from Alexandria via LeMat-Bulk. Energies are from GGA-PBE.

## Properties
Raw total energy: -5.42 eV per atom
Formation energy: -25.4 meV per atom
Energy above the lowest structure with this stoichiometry: 0.234 eV per formula unit

The structure in POSCAR format:
```
Tb2HfTl
1.0
4.711 0.000 0.000
0.000 4.711 0.000
0.000 0.000 4.700
Tb Hf Tl
2 1 1
Direct
0.000 0.500 0.000
0.500 0.000 0.000
0.000 0.000 0.500
0.500 0.500 0.500
```



Here is LaTa4 after structural relaxation from Alexandria via LeMat-Bulk. Energies are from GGA-PBE.

## Properties
Raw total energy: -10.01 eV per atom
Formation energy: 456.3 meV per atom
Energy above the lowest structure with this stoichiometry: 0.000 eV per formula unit

The structure in POSCAR format:
```
LaTa4
1.0
-3.334 3.334 2.367
3.334 -3.334 2.367
3.334 3.334 -2.367
La Ta
1 4
Direct
0.000 0.000 0.000
0.189 0.434 0.623
0.434 0.811 0.245
0.566 0.189 0.755
0.811 0.566 0.377
```



Here is CaPmGdLu after structural relaxation from Alexandria via LeMat-Bulk. Energies are from GGA-PBE.

## Properties
Raw total energy: -6.21 eV per atom
Formation energy: 124.6 meV per atom

The structure in POSCAR format:
```
CaPmGdLu
1.0
0.000 4.071 4.071
4.071 0.000 4.071
4.071 4.071 0.000
Ca Pm Gd Lu
1 1 1 1
Direct
0.000 0.000 0.000
0.750 0.750 0.750
0.250 0.250 0.250
0.500 0.500 0.500
```



Here is Pm7CdBr12 after structural relaxation from Alexandria via LeMat-Bulk. Energies are from GGA-PBE.

## Properties
Raw total energy: -4.22 eV per atom

The structure in POSCAR format:
```
Pm7CdBr12
1.0
7.742 4.470 3.288
-7.742 4.470 3.288
0.000 -8.940 3.288
Pm Cd Br
7 1 12
Direct
0.000 0.000 0.000
0.153 0.450 0.373
0.373 0.153 0.450
0.450 0.373 0.153
0.550 0.627 0.847
0.627 0.847 0.550
0.847 0.550 0.627
0.500 0.500 0.500
0.019 0.103 0.339
0.103 0.339 0.019
0.195 0.575 0.723
0.277 0.805 0.425
0.339 0.019 0.103
0.425 0.277 0.805
0.575 0.723 0.195
0.661 0.981 0.897
0.723 0.195 0.575
0.805 0.425 0.277
0.897 0.661 0.981
0.981 0.897 0.661
```



Here is Hf3MgPd12 after structural relaxation from Alexandria via LeMat-Bulk. Energies are from GGA-PBE.

## Properties
Raw total energy: -6.66 eV per atom
Formation energy: -801.7 meV per atom

The structure in POSCAR format:
```
Hf3MgPd12
1.0
4.011 0.000 0.000
0.000 4.011 0.000
0.000 0.000 15.939
Hf Mg Pd
3 1 12
Direct
0.000 0.000 0.000
0.000 0.000 0.256
0.000 0.000 0.744
0.000 0.000 0.500
0.000 0.500 0.125
0.000 0.500 0.374
0.000 0.500 0.626
0.000 0.500 0.875
0.500 0.000 0.125
0.500 0.000 0.374
0.500 0.000 0.626
0.500 0.000 0.875
0.500 0.500 0.000
0.500 0.500 0.249
0.500 0.500 0.500
0.500 0.500 0.751
```



Here is CuSb2F2 after structural relaxation from Alexandria via LeMat-Bulk. Energies are from GGA-PBE.

## Properties
Raw total energy: -4.25 eV per atom

The structure in POSCAR format:
```
CuSb2F2
1.0
6.854 0.000 0.000
0.000 6.854 0.000
0.000 0.000 4.448
Cu Sb F
2 4 4
Direct
0.000 0.000 0.000
0.500 0.500 0.000
0.153 0.347 0.000
0.347 0.847 0.000
0.653 0.153 0.000
0.847 0.653 0.000
0.154 0.346 0.500
0.346 0.846 0.500
0.654 0.154 0.500
0.846 0.654 0.500
```



Here is Ce2Si2H after structural relaxation from Alexandria via LeMat-Bulk. Energies are from GGA-PBE.

## Properties
Raw total energy: -5.75 eV per atom

The structure in POSCAR format:
```
Ce2Si2H
1.0
5.449 -2.998 0.000
5.449 2.998 0.000
-1.245 0.000 5.893
Ce Si H
4 4 2
Direct
0.083 0.680 0.950
0.320 0.917 0.550
0.680 0.083 0.450
0.917 0.320 0.050
0.153 0.525 0.437
0.475 0.847 0.063
0.525 0.153 0.937
0.847 0.475 0.563
0.000 0.000 0.250
0.000 0.000 0.750
```



Here is TaCoSi after structural relaxation from Alexandria via LeMat-Bulk. Energies are from GGA-PBE.

## Properties
Raw total energy: -8.56 eV per atom

The structure in POSCAR format:
```
TaCoSi
1.0
-1.404 1.404 5.037
1.404 -1.404 5.037
1.404 1.404 -5.037
Ta Co Si
1 1 1
Direct
0.000 0.000 0.000
0.307 0.307 0.000
0.687 0.687 0.000
```



Here is LiAlAg after structural relaxation from Alexandria via LeMat-Bulk. Energies are from GGA-PBE.

## Properties
Raw total energy: -3.01 eV per atom
Formation energy: -175.7 meV per atom
Energy above the lowest structure with this stoichiometry: 0.133 eV per formula unit

The structure in POSCAR format:
```
LiAlAg
1.0
4.475 0.000 0.000
-2.237 3.875 0.000
0.000 0.000 2.768
Li Al Ag
1 1 1
Direct
0.000 0.000 0.000
0.333 0.667 0.639
0.667 0.333 0.319
```



Here is MgZn4As after structural relaxation from Alexandria via LeMat-Bulk. Energies are from GGA-PBE.

## Properties
Raw total energy: -1.83 eV per atom
Formation energy: 61.7 meV per atom

The structure in POSCAR format:
```
MgZn4As
1.0
0.000 3.715 3.715
3.715 0.000 3.715
3.715 3.715 0.000
Mg Zn As
1 4 1
Direct
0.000 0.000 0.000
0.126 0.625 0.625
0.625 0.126 0.625
0.625 0.625 0.126
0.625 0.625 0.625
0.250 0.250 0.250
```



Here is InSiTe3 after structural relaxation from Alexandria via LeMat-Bulk. Energies are from GGA-PBE.

## Properties
Raw total energy: -2.69 eV per atom
Energy above the lowest structure with this stoichiometry: 5.203 eV per formula unit

The structure in POSCAR format:
```
InSiTe3
1.0
5.629 0.000 0.000
0.000 5.629 0.000
0.000 0.000 5.629
In Si Te
1 1 3
Direct
0.000 0.000 0.000
0.500 0.500 0.500
0.000 0.000 0.500
0.000 0.500 0.000
0.500 0.000 0.000
```



Here is PrNdHo3Sc after structural relaxation from Alexandria via LeMat-Bulk. Energies are from GGA-PBE.

## Properties
Raw total energy: -4.89 eV per atom
Formation energy: 43.1 meV per atom

The structure in POSCAR format:
```
PrNdHo3Sc
1.0
2.509 -7.505 0.000
2.509 7.505 0.000
0.000 0.000 10.014
Pr Nd Ho Sc
2 2 6 2
Direct
0.000 0.000 0.000
0.000 0.000 0.500
0.498 0.502 0.750
0.502 0.498 0.250
0.171 0.829 0.750
0.330 0.670 0.000
0.330 0.670 0.500
0.670 0.330 0.000
0.670 0.330 0.500
0.829 0.171 0.250
0.169 0.831 0.250
0.831 0.169 0.750
```



Here is ScTiRe2 after structural relaxation from Alexandria via LeMat-Bulk. Energies are from GGA-PBE.

## Properties
Raw total energy: -9.26 eV per atom
Formation energy: 521.6 meV per atom
Energy above the lowest structure with this stoichiometry: 2.419 eV per formula unit

The structure in POSCAR format:
```
ScTiRe2
1.0
-3.603 3.603 2.684
3.603 -3.603 2.684
3.603 3.603 -2.684
Sc Ti Re
2 2 4
Direct
0.000 0.000 0.000
0.750 0.250 0.500
0.250 0.750 0.500
0.500 0.500 0.000
0.145 0.125 0.520
0.375 0.855 0.980
0.605 0.625 0.480
0.875 0.395 0.020
```



Here is BI3Br after structural relaxation from Alexandria via LeMat-Bulk. Energies are from GGA-PBE.

## Properties
Raw total energy: -1.85 eV per atom
Energy above the lowest structure with this stoichiometry: 0.000 eV per formula unit

The structure in POSCAR format:
```
BI3Br
1.0
5.161 0.000 0.000
0.000 5.161 0.000
0.000 0.000 5.161
B I Br
1 3 1
Direct
0.000 0.000 0.000
0.000 0.000 0.500
0.000 0.500 0.000
0.500 0.000 0.000
0.500 0.500 0.500
```



Here is Y2MgZn3 after structural relaxation from Alexandria via LeMat-Bulk. Energies are from GGA-PBE.

## Properties
Raw total energy: -3.39 eV per atom
Formation energy: -334.0 meV per atom

The structure in POSCAR format:
```
Y2MgZn3
1.0
4.901 0.000 0.000
-2.450 4.244 0.000
0.000 0.000 12.201
Y Mg Zn
4 2 6
Direct
0.000 0.000 0.000
0.000 0.000 0.500
0.333 0.667 0.180
0.667 0.333 0.820
0.333 0.667 0.662
0.667 0.333 0.338
0.000 0.000 0.255
0.000 0.000 0.745
0.333 0.667 0.421
0.333 0.667 0.915
0.667 0.333 0.085
0.667 0.333 0.579
```



Here is Pr2CuPb after structural relaxation from Alexandria via LeMat-Bulk. Energies are from GGA-PBE.

## Properties
Raw total energy: -4.23 eV per atom
Formation energy: 106.9 meV per atom

The structure in POSCAR format:
```
Pr2CuPb
1.0
1.817 1.049 10.869
-1.817 1.049 10.869
0.000 -2.098 10.869
Pr Cu Pb
2 1 1
Direct
0.102 0.102 0.102
0.898 0.898 0.898
0.500 0.500 0.500
0.000 0.000 0.000
```



Here is BaScGa2Sb after structural relaxation from Alexandria via LeMat-Bulk. Energies are from GGA-PBE.

## Properties
Raw total energy: -3.56 eV per atom

The structure in POSCAR format:
```
BaScGa2Sb
1.0
5.606 0.000 0.000
0.000 5.606 0.000
0.000 0.000 5.406
Ba Sc Ga Sb
1 1 2 1
Direct
0.000 0.000 0.000
0.500 0.500 0.000
0.000 0.500 0.500
0.500 0.000 0.500
0.500 0.500 0.500
```